Entry 1:
16
Lattice="-4.592 -2.514 1.560 4.129 -4.388 -4.485 5.893 -4.602 9.928" Properties=species:S:1:pos:R:3 comment="Pm2InS5 PBE-GGA relaxed" total_energy_ha_per_atom=-0.1970 rho_g_cm3=3.951 formation_energy_uncorrected_ev_per_atom=-1.250 pbc="T T T"
Pm 1.469 -7.051 2.524
Pm -0.632 -5.410 -1.017
Pm 3.961 -4.453 4.480
Pm 6.062 -6.094 8.020
In 3.325 -8.407 5.799
In 2.105 -3.098 1.204
S 4.690 -10.645 6.212
S 2.978 -9.308 3.327
S 3.494 -5.234 1.846
S 1.633 -3.781 -1.289
S -0.041 -4.817 1.681
S 5.471 -6.688 5.322
S 1.936 -6.270 5.157
S 3.797 -7.723 8.292
S 0.740 -0.859 0.792
S 2.452 -2.196 3.677


Entry 2:
4
Lattice="3.966 0.000 0.000 1.983 3.434 0.000 1.983 1.145 8.065" Properties=species:S:1:pos:R:3 comment="Pm2InS PBE-GGA relaxed" total_energy_ha_per_atom=-0.1950 rho_g_cm3=6.604 formation_energy_uncorrected_ev_per_atom=-1.215 e_above_lowest_polymorph_ev_per_fu=0.00 pbc="T T T"
S 0.000 0.000 0.000
In 3.966 2.290 4.032
Pm 5.949 3.434 6.403
Pm 1.983 1.145 1.662


Entry 3:
10
Lattice="4.051 0.000 0.000 2.026 3.508 0.000 2.026 1.169 17.430" Properties=species:S:1:pos:R:3 comment="Pm4InS5 PBE-GGA relaxed" total_energy_ha_per_atom=-0.2206 rho_g_cm3=5.732 formation_energy_uncorrected_ev_per_atom=-1.764 pbc="T T T"
Pm 6.077 3.508 4.941
Pm 2.026 1.169 1.638
Pm 6.077 3.508 15.792
Pm 2.026 1.169 12.489
In 4.051 2.339 8.715
S 4.051 2.339 14.139
S 0.000 0.000 0.000
S 4.051 2.339 3.291
S 6.077 3.508 10.918
S 2.026 1.169 6.512


Entry 4:
14
Lattice="-3.888 -0.061 -0.143 2.182 -0.124 -6.358 0.191 -12.897 0.316" Properties=species:S:1:pos:R:3 comment="PmIn2S4 PBE-GGA relaxed" total_energy_ha_per_atom=-0.1775 rho_g_cm3=5.170 formation_energy_uncorrected_ev_per_atom=-1.010 pbc="T T T"
Pm -1.746 -9.739 -1.315
Pm 0.231 -3.343 -4.868
In 0.145 -5.642 -1.544
In -1.589 -12.195 -4.523
In 0.075 -0.887 -1.660
In -1.660 -7.440 -4.640
S -1.788 -1.661 -3.627
S -1.738 -5.021 -3.544
S 0.273 -11.420 -2.557
S 0.224 -8.061 -2.639
S -1.583 -9.844 -5.709
S 0.068 -3.238 -0.474
S -1.944 -0.031 -0.071
S -1.848 -6.479 0.087


Entry 5:
20
Lattice="-3.605 0.798 -1.307 3.265 -2.552 -10.559 -3.882 -8.762 5.359" Properties=species:S:1:pos:R:3 comment="PmIn3S6 PBE-GGA relaxed" total_energy_ha_per_atom=-0.1718 rho_g_cm3=5.011 formation_energy_uncorrected_ev_per_atom=-0.903 pbc="T T T"
Pm -5.265 -5.715 2.229
Pm 1.042 -4.801 -8.737
In -4.496 -7.833 -1.181
In 0.274 -2.683 -5.326
In -2.274 -5.414 -5.834
In -1.949 -5.101 -0.673
In -2.532 -0.693 -2.243
In -1.691 -9.823 -4.265
S -3.573 -5.843 -2.515
S -0.650 -4.673 -3.993
S -0.012 -2.526 -10.310
S -4.211 -7.989 3.802
S -1.647 -0.943 -4.835
S -2.576 -9.573 -1.672
S -1.291 -3.564 -7.414
S -2.931 -6.952 0.906
S -4.167 -3.729 0.414
S -0.055 -6.787 -6.922
S -2.969 -7.916 -5.443
S -1.253 -2.600 -1.064


Entry 6:
6
Lattice="-0.646 -4.012 -0.424 3.364 1.338 1.891 -5.919 -0.173 10.653" Properties=species:S:1:pos:R:3 comment="PmInS PBE-GGA relaxed" total_energy_ha_per_atom=-0.1785 rho_g_cm3=5.504 formation_energy_uncorrected_ev_per_atom=-0.986 pbc="T T T"
In 0.681 -0.150 0.376
In -2.286 -0.235 5.698
S -3.470 -2.518 9.424
S 0.282 -2.408 2.670
Pm -1.421 -0.714 8.912
Pm 0.905 -0.646 4.725